1.
KBaCu2: PBEsol geometry, meta-GGA SCAN.

DOS(E_F) (states/eV/f.u.): 2.81
Magnetization (μB per atom): 0.000
Space group: P4mm (99)

Geometry as POSCAR:
```
KBaCu2
1.0
3.489 0.000 0.000
0.000 3.489 0.000
0.000 0.000 9.337
K Ba Cu
1 1 2
direct
0.000 0.000 0.000
0.500 0.500 0.432
0.000 0.000 0.675
0.500 0.500 0.738
```


2.
KBaCu2: PBEsol geometry, meta-GGA SCAN.

DOS(E_F) (states/eV/f.u.): 2.10
Magnetization (μB per atom): 0.000
Space group: P4/mmm (123)

Geometry as POSCAR:
```
KBaCu2
1.0
5.393 0.000 0.000
0.000 5.393 0.000
0.000 0.000 3.854
K Ba Cu
1 1 2
direct
0.000 0.000 0.000
0.500 0.500 0.000
0.000 0.500 0.500
0.500 0.000 0.500
```


Most stable: 1 (next structure +15 meV/atom)


1.
KBa2Cu: PBEsol geometry, meta-GGA SCAN.

DOS(E_F) (states/eV/f.u.): 5.27
Magnetization (μB per atom): 0.000
Space group: F-43m (216)

Geometry as POSCAR:
```
KBa2Cu
1.0
8.439 0.000 0.000
0.000 8.439 0.000
0.000 0.000 8.439
K Ba Cu
4 8 4
direct
0.000 0.000 0.000
0.000 0.500 0.500
0.500 0.000 0.500
0.500 0.500 0.000
0.000 0.000 0.500
0.000 0.500 0.000
0.250 0.250 0.750
0.250 0.750 0.250
0.500 0.000 0.000
0.500 0.500 0.500
0.750 0.250 0.250
0.750 0.750 0.750
0.250 0.250 0.250
0.250 0.750 0.750
0.750 0.250 0.750
0.750 0.750 0.250
```


2.
KBa2Cu: PBEsol geometry, meta-GGA SCAN.

DOS(E_F) (states/eV/f.u.): 3.76
Magnetization (μB per atom): 0.022
Space group: P2/m (10)

Geometry as POSCAR:
```
KBa2Cu
1.0
3.961 0.000 0.000
0.000 3.961 0.000
-0.031 0.000 11.112
K Ba Cu
1 2 1
direct
0.000 0.000 0.000
0.498 0.500 0.336
0.502 0.500 0.664
0.000 0.000 0.500
```


Most stable: 2 (next structure +402 meV/atom)


1.
KBa3Cu: PBEsol geometry, meta-GGA SCAN.

DOS(E_F) (states/eV/f.u.): 4.17
Magnetization (μB per atom): 0.008
Space group: Pm-3m (221)

Geometry as POSCAR:
```
KBa3Cu
1.0
6.390 0.000 0.000
0.000 6.390 0.000
0.000 0.000 6.390
K Ba Cu
1 3 1
direct
0.000 0.000 0.000
0.000 0.500 0.500
0.500 0.000 0.500
0.500 0.500 0.000
0.500 0.500 0.500
```


2.
KBa3Cu: PBEsol geometry, meta-GGA SCAN.

DOS(E_F) (states/eV/f.u.): 4.02
Magnetization (μB per atom): 0.733
Space group: Pm-3m (221)

Geometry as POSCAR:
```
KBa3Cu
1.0
6.594 0.000 0.000
0.000 6.594 0.000
0.000 0.000 6.594
K Ba Cu
1 3 1
direct
0.000 0.000 0.000
0.000 0.000 0.500
0.000 0.500 0.000
0.500 0.000 0.000
0.500 0.500 0.500
```


Most stable: 1 (next structure +955 meV/atom)


1.
BaLaCu2: PBEsol geometry, meta-GGA SCAN.

DOS(E_F) (states/eV/f.u.): 3.89
Magnetization (μB per atom): 0.000
Space group: Fm-3m (225)

Geometry as POSCAR:
```
BaLaCu2
1.0
7.403 0.000 0.000
0.000 7.403 0.000
0.000 0.000 7.403
Ba La Cu
4 4 8
direct
0.000 0.000 0.000
0.000 0.500 0.500
0.500 0.000 0.500
0.500 0.500 0.000
0.000 0.000 0.500
0.000 0.500 0.000
0.500 0.000 0.000
0.500 0.500 0.500
0.250 0.250 0.250
0.250 0.250 0.750
0.250 0.750 0.250
0.250 0.750 0.750
0.750 0.250 0.250
0.750 0.250 0.750
0.750 0.750 0.250
0.750 0.750 0.750
```


2.
BaLaCu2: PBEsol geometry, meta-GGA SCAN.

DOS(E_F) (states/eV/f.u.): 2.77
Magnetization (μB per atom): 0.000
Space group: R-3m (166)

Geometry as POSCAR:
```
BaLaCu2
1.0
4.310 0.000 0.000
-2.155 3.733 0.000
0.000 0.000 22.017
Ba La Cu
3 3 6
direct
0.000 0.000 0.000
0.333 0.667 0.667
0.667 0.333 0.333
0.000 0.000 0.500
0.333 0.667 0.167
0.667 0.333 0.833
0.000 0.000 0.238
0.000 0.000 0.762
0.333 0.667 0.428
0.333 0.667 0.905
0.667 0.333 0.095
0.667 0.333 0.572
```


Most stable: 1 (next structure +42 meV/atom)


1.
BaLiCu2: PBEsol geometry, meta-GGA SCAN.

DOS(E_F) (states/eV/f.u.): 2.40
Magnetization (μB per atom): 0.032
Space group: Cm (8)

Geometry as POSCAR:
```
BaLiCu2
1.0
7.447 0.000 0.000
0.000 4.298 0.000
-2.467 0.000 5.525
Ba Li Cu
2 2 4
direct
0.000 0.000 0.000
0.500 0.500 0.000
0.315 0.500 0.444
0.815 0.000 0.444
0.021 0.500 0.562
0.199 0.000 0.597
0.521 0.000 0.562
0.699 0.500 0.597
```


2.
BaLiCu2: PBEsol geometry, meta-GGA SCAN.

DOS(E_F) (states/eV/f.u.): 1.32
Magnetization (μB per atom): 0.000
Space group: R-3m (166)

Geometry as POSCAR:
```
BaLiCu2
1.0
4.336 0.000 0.000
-2.168 3.755 0.000
0.000 0.000 16.421
Ba Li Cu
3 3 6
direct
0.000 0.000 0.000
0.333 0.667 0.667
0.667 0.333 0.333
0.000 0.000 0.500
0.333 0.667 0.167
0.667 0.333 0.833
0.000 0.000 0.189
0.000 0.000 0.811
0.333 0.667 0.478
0.333 0.667 0.855
0.667 0.333 0.145
0.667 0.333 0.522
```


Most stable: 2 (next structure +29 meV/atom)


1.
Ba2Cu3O6: PBEsol geometry, meta-GGA SCAN.

DOS(E_F) (states/eV/f.u.): 5.60
Magnetization (μB per atom): 0.092
Space group: Fmmm (69)

Geometry as POSCAR:
```
Ba2Cu3O6
1.0
0.000 5.580 7.230
4.090 0.000 7.230
4.090 5.580 0.000
Ba Cu O
4 6 12
direct
0.231 0.769 0.231
0.250 0.250 0.250
0.750 0.750 0.750
0.769 0.231 0.769
0.006 0.698 0.994
0.302 0.994 0.698
0.313 0.687 0.687
0.687 0.313 0.313
0.698 0.006 0.302
0.994 0.302 0.006
0.067 0.298 0.702
0.082 0.735 0.690
0.265 0.918 0.507
0.298 0.067 0.933
0.310 0.507 0.918
0.493 0.690 0.735
0.507 0.310 0.265
0.690 0.493 0.082
0.702 0.933 0.067
0.735 0.082 0.493
0.918 0.265 0.310
0.933 0.702 0.298
```


2.
Ba2Cu3O6: PBEsol geometry, meta-GGA SCAN.

DOS(E_F) (states/eV/f.u.): 4.92
Magnetization (μB per atom): 0.001
Space group: P2/m (10)

Geometry as POSCAR:
```
Ba2Cu3O6
1.0
8.201 0.000 0.000
0.000 7.393 0.000
-2.630 0.000 11.279
Ba Cu O
8 12 24
direct
0.017 0.000 0.251
0.149 0.500 0.252
0.291 0.500 0.750
0.455 0.000 0.249
0.545 0.000 0.751
0.709 0.500 0.250
0.851 0.500 0.748
0.983 0.000 0.749
0.000 0.249 0.000
0.000 0.751 0.000
0.166 0.254 0.501
0.166 0.746 0.501
0.332 0.250 0.000
0.332 0.750 0.000
0.500 0.243 0.500
0.500 0.757 0.500
0.668 0.250 0.000
0.668 0.750 0.000
0.834 0.254 0.499
0.834 0.746 0.499
0.035 0.273 0.612
0.035 0.727 0.612
0.130 0.264 0.888
0.130 0.736 0.888
0.202 0.235 0.112
0.202 0.765 0.112
0.296 0.232 0.389
0.296 0.768 0.389
0.368 0.246 0.610
0.368 0.754 0.610
0.465 0.251 0.891
0.465 0.749 0.891
0.535 0.251 0.109
0.535 0.749 0.109
0.632 0.246 0.390
0.632 0.754 0.390
0.704 0.232 0.611
0.704 0.768 0.611
0.798 0.235 0.888
0.798 0.765 0.888
0.870 0.264 0.112
0.870 0.736 0.112
0.965 0.273 0.388
0.965 0.727 0.388
```


Most stable: 2 (next structure +60 meV/atom)


1.
Ba2CuSi2O7: PBEsol geometry, meta-GGA SCAN.

DOS(E_F) (states/eV/f.u.): 0.00
Magnetization (μB per atom): 0.082
Space group: P-42_1m (113)

Geometry as POSCAR:
```
Ba2CuSi2O7
1.0
8.328 0.000 0.000
0.000 8.328 0.000
0.000 0.000 5.262
Ba Cu Si O
4 2 4 14
direct
0.167 0.333 0.008
0.333 0.833 0.992
0.667 0.167 0.992
0.833 0.667 0.008
0.000 0.000 0.500
0.500 0.500 0.500
0.135 0.635 0.523
0.365 0.135 0.477
0.635 0.865 0.477
0.865 0.365 0.523
0.000 0.500 0.631
0.079 0.804 0.656
0.133 0.633 0.217
0.196 0.079 0.344
0.304 0.579 0.656
0.367 0.133 0.783
0.421 0.304 0.344
0.500 0.000 0.369
0.579 0.696 0.344
0.633 0.867 0.783
0.696 0.421 0.656
0.804 0.921 0.344
0.867 0.367 0.217
0.921 0.196 0.656
```


2.
Ba2CuSi2O7: PBEsol geometry, meta-GGA SCAN.

Magnetization (μB per atom): 0.084
Space group: C2/c (15)

Geometry as POSCAR:
```
Ba2CuSi2O7
1.0
4.315 -5.200 0.000
4.315 5.200 0.000
-2.842 0.000 7.979
Ba Cu Si O
4 2 4 14
direct
0.187 0.273 0.469
0.273 0.187 0.969
0.727 0.813 0.031
0.813 0.727 0.531
0.258 0.742 0.250
0.742 0.258 0.750
0.151 0.617 0.857
0.383 0.849 0.643
0.617 0.151 0.357
0.849 0.383 0.143
0.013 0.787 0.867
0.020 0.382 0.744
0.213 0.987 0.633
0.293 0.605 0.036
0.328 0.672 0.750
0.382 0.020 0.244
0.395 0.707 0.464
0.605 0.293 0.536
0.618 0.980 0.756
0.672 0.328 0.250
0.707 0.395 0.964
0.787 0.013 0.367
0.980 0.618 0.256
0.987 0.213 0.133
```


Most stable: 1 (next structure +7 meV/atom)


1.
BaCu2Os: PBEsol geometry, meta-GGA SCAN.

DOS(E_F) (states/eV/f.u.): 3.14
Magnetization (μB per atom): 0.153
Space group: P4mm (99)

Geometry as POSCAR:
```
BaCu2Os
1.0
3.113 0.000 0.000
0.000 3.113 0.000
0.000 0.000 7.418
Ba Cu Os
1 2 1
direct
0.000 0.000 0.000
0.000 0.000 0.499
0.500 0.500 0.334
0.500 0.500 0.673
```


2.
BaCu2Os: PBEsol geometry, meta-GGA SCAN.

DOS(E_F) (states/eV/f.u.): 1.86
Magnetization (μB per atom): 0.000
Space group: Cm (8)

Geometry as POSCAR:
```
BaCu2Os
1.0
7.362 0.000 0.000
0.000 4.252 0.000
-2.464 0.000 5.504
Ba Cu Os
2 4 2
direct
0.000 0.000 0.000
0.500 0.500 0.000
0.006 0.500 0.517
0.320 0.500 0.458
0.506 0.000 0.517
0.820 0.000 0.458
0.184 0.000 0.549
0.684 0.500 0.549
```


Most stable: 2 (next structure +444 meV/atom)


1.
BaCu2Re: PBEsol geometry, meta-GGA SCAN.

DOS(E_F) (states/eV/f.u.): 2.64
Magnetization (μB per atom): 0.151
Space group: Pmmm (47)

Geometry as POSCAR:
```
BaCu2Re
1.0
2.941 0.000 0.000
0.000 3.488 0.000
0.000 0.000 7.159
Ba Cu Re
1 2 1
direct
0.000 0.000 0.000
0.500 0.500 0.330
0.500 0.500 0.670
0.000 0.000 0.500
```


2.
BaCu2Re: PBEsol geometry, meta-GGA SCAN.

DOS(E_F) (states/eV/f.u.): 3.89
Magnetization (μB per atom): 0.000
Space group: Pm (6)

Geometry as POSCAR:
```
BaCu2Re
1.0
2.908 0.000 0.000
0.000 4.071 0.000
-1.074 0.000 6.480
Ba Cu Re
1 2 1
direct
0.000 0.000 0.000
0.624 0.500 0.305
0.682 0.000 0.521
0.245 0.500 0.623
```


3.
BaCu2Re: PBEsol geometry, meta-GGA SCAN.

DOS(E_F) (states/eV/f.u.): 1.98
Magnetization (μB per atom): 0.214
Space group: P4/mmm (123)

Geometry as POSCAR:
```
BaCu2Re
1.0
4.927 0.000 0.000
0.000 4.927 0.000
0.000 0.000 2.896
Ba Cu Re
1 2 1
direct
0.000 0.000 0.000
0.000 0.500 0.500
0.500 0.000 0.500
0.500 0.500 0.000
```


Most stable: 1 (next structure +119 meV/atom)


1.
Ba2CuRh: PBEsol geometry, meta-GGA SCAN.

DOS(E_F) (states/eV/f.u.): 1.14
Magnetization (μB per atom): 0.000
Space group: I-4m2 (119)

Geometry as POSCAR:
```
Ba2CuRh
1.0
4.536 0.000 0.000
0.000 4.536 0.000
0.000 0.000 9.954
Ba Cu Rh
4 2 2
direct
0.000 0.000 0.000
0.000 0.500 0.250
0.500 0.000 0.750
0.500 0.500 0.500
0.000 0.000 0.500
0.500 0.500 0.000
0.000 0.500 0.750
0.500 0.000 0.250
```


2.
Ba2CuRh: PBEsol geometry, meta-GGA SCAN.

DOS(E_F) (states/eV/f.u.): 1.52
Magnetization (μB per atom): 0.000
Space group: P4/mmm (123)

Geometry as POSCAR:
```
Ba2CuRh
1.0
3.737 0.000 0.000
0.000 3.737 0.000
0.000 0.000 7.719
Ba Cu Rh
2 1 1
direct
0.000 0.000 0.236
0.000 0.000 0.764
0.500 0.500 0.500
0.500 0.500 0.000
```


Most stable: 2 (next structure +181 meV/atom)


1.
Ba2CuRh: PBEsol geometry, meta-GGA SCAN.

DOS(E_F) (states/eV/f.u.): 1.15
Magnetization (μB per atom): 0.000
Space group: Amm2 (38)

Geometry as POSCAR:
```
Ba2CuRh
1.0
4.517 0.000 0.000
0.000 4.569 0.000
0.000 0.000 11.152
Ba Cu Rh
4 2 2
direct
0.000 0.000 0.000
0.000 0.500 0.500
0.500 0.000 0.286
0.500 0.500 0.786
0.500 0.000 0.595
0.500 0.500 0.095
0.000 0.000 0.688
0.000 0.500 0.188
```


2.
Ba2CuRh: PBEsol geometry, meta-GGA SCAN.

DOS(E_F) (states/eV/f.u.): 2.13
Magnetization (μB per atom): 0.004
Space group: R3m (160)

Geometry as POSCAR:
```
Ba2CuRh
1.0
4.361 0.000 0.000
-2.180 3.777 0.000
0.000 0.000 24.528
Ba Cu Rh
6 3 3
direct
0.000 0.000 0.000
0.000 0.000 0.164
0.333 0.667 0.667
0.333 0.667 0.831
0.667 0.333 0.333
0.667 0.333 0.497
0.000 0.000 0.749
0.333 0.667 0.415
0.667 0.333 0.082
0.000 0.000 0.415
0.333 0.667 0.082
0.667 0.333 0.749
```


Most stable: 2 (next structure +54 meV/atom)


1.
BaCu2Rh: PBEsol geometry, meta-GGA SCAN.

DOS(E_F) (states/eV/f.u.): 1.85
Magnetization (μB per atom): 0.000
Space group: Cm (8)

Geometry as POSCAR:
```
BaCu2Rh
1.0
7.407 0.000 0.000
0.000 4.278 0.000
-2.500 0.000 5.366
Ba Cu Rh
2 4 2
direct
0.000 0.000 0.000
0.500 0.500 0.000
0.003 0.500 0.509
0.317 0.500 0.450
0.503 0.000 0.509
0.817 0.000 0.450
0.186 0.000 0.556
0.686 0.500 0.556
```


2.
BaCu2Rh: PBEsol geometry, meta-GGA SCAN.

DOS(E_F) (states/eV/f.u.): 1.33
Magnetization (μB per atom): 0.000
Space group: P4/mmm (123)

Geometry as POSCAR:
```
BaCu2Rh
1.0
4.135 0.000 0.000
0.000 4.135 0.000
0.000 0.000 4.200
Ba Cu Rh
1 2 1
direct
0.000 0.000 0.000
0.000 0.500 0.500
0.500 0.000 0.500
0.500 0.500 0.000
```


Most stable: 1 (next structure +578 meV/atom)